(one)
{
  "formula": "Na4Sn2Hg5",
  "functional": "GGA-PBE",
  "state": "optimized geometry",
  "sg": "P2/m (10)",
  "m_tot_mub_per_atom": 0.000,
  "lattice_angstrom": [[3.342, 0.000, 0.000], [0.000, 8.171, -0.249], [0.000, -1.107, 10.564]],
  "species": ["Na", "Na", "Na", "Na", "Sn", "Sn", "Hg", "Hg", "Hg", "Hg", "Hg"],
  "frac_coords": [[0.500, 0.708, 0.561], [0.500, 0.170, 0.903], [0.500, 0.292, 0.439], [0.500, 0.830, 0.097], [0.000, 0.068, 0.641], [0.000, 0.932, 0.359], [0.000, 0.554, 0.298], [0.000, 0.189, 0.164], [0.000, 0.500, 0.000], [0.000, 0.811, 0.836], [0.000, 0.446, 0.702]]
}

(two)
{
  "formula": "Na4Sn2Hg5",
  "functional": "GGA-PBE",
  "state": "optimized geometry",
  "sg": "P2/m (10)",
  "m_tot_mub_per_atom": 0.000,
  "lattice_angstrom": [[3.373, 0.000, 0.000], [0.000, 8.553, -0.974], [0.000, 0.037, 10.259]],
  "species": ["Na", "Na", "Na", "Na", "Sn", "Sn", "Hg", "Hg", "Hg", "Hg", "Hg"],
  "frac_coords": [[0.500, 0.272, 0.658], [0.500, 0.766, 0.863], [0.500, 0.728, 0.342], [0.500, 0.234, 0.137], [0.000, 0.923, 0.624], [0.000, 0.077, 0.376], [0.000, 0.425, 0.363], [0.000, 0.882, 0.110], [0.000, 0.500, 0.000], [0.000, 0.118, 0.890], [0.000, 0.575, 0.637]]
}

The most stable arrangement is (one), and the next structure is 0.011 eV/atom less stable.